In2SbAuCl: relaxed, PBE-GGA.

For the electronic total energy, the calculation gives -2.928 eV per atom. The magnetic moment comes out at 1.00 μB/f.u. For the formation energy without anion corrections, the calculation gives 0.016 eV per atom.

a b c (Å): 5.588 5.588 5.278
angles (deg): 90.00 90.00 90.00
Atoms (fractional coordinates):
In  0.000  0.500  0.000
In  0.500  0.000  0.000
Sb  0.000  0.000  0.500
Au  0.000  0.000  0.000
Cl  0.500  0.500  0.500